The following is a DFT calculation (PBE) of a relaxed Y2SnRhC crystal.

Values from the calculation:
- V: 101 Å³/cell
- Energy relative to the elements: -50.9 kJ per mole of atoms
- Calculated total energy: -7.229 eV/atom
- DOS(E_F): 2.8 states/eV/cell
- Mass density: 6.8 Mg/m³

Unit cell a=5.0112 b=5.0112 c=4.0221 alpha=90.00 beta=90.00 gamma=90.00
Fractional positions:
Sn (0.5000, 0.5000, 0.5000)
C (0.0000, 0.0000, 0.0000)
Rh (0.0000, 0.0000, 0.5000)
Y (0.5000, 0.0000, 0.0000)
Y (0.0000, 0.5000, 0.0000)